TlIn6Au12 | Alexandria via LeMat-Bulk | PBE-GGA | optimized geometry; theoretical density = 13.0 g cm⁻³; space group = R-3m; crystal system = trigonal; polymorph energy (0 for the lowest one) = 26 meV/atom
1.0
6.244 3.605 3.092
-6.244 3.605 3.092
0.000 -7.210 3.092
Tl In Au
1 6 12
Cartesian
0.000 0.000 0.000 Tl
0.000 -2.916 3.988 In
-2.525 1.458 3.988 In
-2.525 -1.458 5.288 In
2.525 1.458 3.988 In
2.525 -1.458 5.288 In
0.000 2.916 5.288 In
-1.504 -0.868 2.530 Au
-2.421 -4.194 4.638 Au
-4.843 0.000 4.638 Au
1.504 -0.868 2.530 Au
0.000 1.737 2.530 Au
2.421 -4.194 4.638 Au
-2.421 4.194 4.638 Au
0.000 -1.737 6.746 Au
-1.504 0.868 6.746 Au
4.843 0.000 4.638 Au
2.421 4.194 4.638 Au
1.504 0.868 6.746 Au



TlIn2Au | Alexandria via LeMat-Bulk | PBE-GGA | optimized geometry; theoretical density = 9.8 g cm⁻³; space group = Imm2; crystal system = orthorhombic; polymorph energy (0 for the lowest one) = 79 meV/atom
1.0
3.639 0.000 0.000
0.000 4.518 0.000
0.000 0.000 12.996
Tl In Au
2 4 2
Cartesian
0.000 0.000 0.000 Tl
1.819 2.259 6.498 Tl
0.000 0.000 5.005 In
0.000 2.259 2.463 In
1.819 0.000 8.961 In
1.819 2.259 11.503 In
0.000 2.259 9.203 Au
1.819 0.000 2.705 Au